Model 1:
First-principles (PBE) data for a relaxed structure of PaMoPt, as listed in Alexandria via LeMat-Bulk. Values from VASP.

Computed properties:
density = 13.89 g/cm³
N(E_F) = 1.828 states/eV per atom
magnetization = 0.00 μB per cell

Geometry as Quantum ESPRESSO input:
```
&SYSTEM
  ibrav = 0, nat = 3, ntyp = 3
/
ATOMIC_SPECIES
Pa 231.04 Pa.upf
Mo 95.94 Mo.upf
Pt 195.08 Pt.upf
CELL_PARAMETERS angstrom
4.470 0.000 0.000
-2.235 3.871 0.000
0.000 0.000 3.607
ATOMIC_POSITIONS crystal
Pa 0.000 0.000 0.000
Mo 0.333 0.667 0.500
Pt 0.667 0.333 0.500
```


Model 2:
First-principles (PBE) data for a relaxed structure of PaMoPt, as listed in Alexandria via LeMat-Bulk. Values from VASP.

Computed properties:
density = 13.83 g/cm³
N(E_F) = 0.997 states/eV per atom
magnetization = 0.00 μB per cell

Geometry as Quantum ESPRESSO input:
```
&SYSTEM
  ibrav = 0, nat = 12, ntyp = 3
/
ATOMIC_SPECIES
Pa 231.04 Pa.upf
Mo 95.94 Mo.upf
Pt 195.08 Pt.upf
CELL_PARAMETERS angstrom
16.865 0.000 0.000
0.000 3.500 0.000
0.000 0.000 4.249
ATOMIC_POSITIONS crystal
Pa 0.129 0.250 0.248
Pa 0.371 0.750 0.748
Pa 0.629 0.250 0.252
Pa 0.871 0.750 0.752
Mo 0.227 0.250 0.744
Mo 0.273 0.750 0.244
Mo 0.727 0.250 0.756
Mo 0.773 0.750 0.256
Pt 0.004 0.250 0.750
Pt 0.496 0.750 0.250
Pt 0.504 0.250 0.750
Pt 0.996 0.750 0.250
```


Most favorable structure: model 1. The second most favorable one is 84 meV/atom above it.


Model 1:
First-principles (PBE) data for a relaxed structure of PuPaMo, as listed in Alexandria via LeMat-Bulk. Values from VASP.

Computed properties:
density = 15.80 g/cm³
N(E_F) = 1.826 states/eV per atom
magnetization = 0.00 μB per cell

Geometry as Quantum ESPRESSO input:
```
&SYSTEM
  ibrav = 0, nat = 6, ntyp = 3
/
ATOMIC_SPECIES
Pu 244.00 Pu.upf
Pa 231.04 Pa.upf
Mo 95.94 Mo.upf
CELL_PARAMETERS angstrom
0.000 2.416 10.454
2.376 0.000 10.454
2.376 2.416 0.000
ATOMIC_POSITIONS crystal
Pu 0.243 0.757 0.243
Pu 0.757 0.243 0.757
Pa 0.377 0.377 0.623
Pa 0.623 0.623 0.377
Mo 0.217 0.217 0.783
Mo 0.783 0.783 0.217
```


Model 2:
First-principles (PBE) data for a relaxed structure of PuPaMo, as listed in Alexandria via LeMat-Bulk. Values from VASP.

Computed properties:
density = 15.34 g/cm³
N(E_F) = 2.154 states/eV per atom
magnetization = 4.54 μB per cell

Geometry as Quantum ESPRESSO input:
```
&SYSTEM
  ibrav = 0, nat = 3, ntyp = 3
/
ATOMIC_SPECIES
Pu 244.00 Pu.upf
Pa 231.04 Pa.upf
Mo 95.94 Mo.upf
CELL_PARAMETERS angstrom
4.758 0.000 0.000
-2.379 4.121 0.000
0.000 0.000 3.152
ATOMIC_POSITIONS crystal
Pu 0.000 0.000 0.000
Pa 0.333 0.667 0.300
Mo 0.667 0.333 0.683
```


Most favorable structure: model 2. The second most favorable one is 188 meV/atom above it.


Model 1:
First-principles (PBE) data for a relaxed structure of Pu2PaMo, as listed in Alexandria via LeMat-Bulk. Values from VASP.

Computed properties:
density = 16.08 g/cm³
N(E_F) = 2.505 states/eV per atom
magnetization = 9.30 μB per cell

Geometry as Quantum ESPRESSO input:
```
&SYSTEM
  ibrav = 0, nat = 4, ntyp = 3
/
ATOMIC_SPECIES
Pu 244.00 Pu.upf
Pa 231.04 Pa.upf
Mo 95.94 Mo.upf
CELL_PARAMETERS angstrom
3.425 0.000 0.000
0.000 3.425 0.000
0.000 0.000 7.172
ATOMIC_POSITIONS crystal
Pu 0.000 0.000 0.229
Pu 0.000 0.000 0.771
Pa 0.500 0.500 0.500
Mo 0.500 0.500 0.000
```


Model 2:
First-principles (PBE) data for a relaxed structure of Pu2PaMo, as listed in Alexandria via LeMat-Bulk. Values from VASP.

Computed properties:
density = 15.79 g/cm³
N(E_F) = 2.783 states/eV per atom
magnetization = 43.19 μB per cell

Geometry as Quantum ESPRESSO input:
```
&SYSTEM
  ibrav = 0, nat = 16, ntyp = 3
/
ATOMIC_SPECIES
Pu 244.00 Pu.upf
Pa 231.04 Pa.upf
Mo 95.94 Mo.upf
CELL_PARAMETERS angstrom
6.999 0.000 0.000
0.000 6.999 0.000
0.000 0.000 6.999
ATOMIC_POSITIONS crystal
Pu 0.250 0.250 0.250
Pu 0.250 0.250 0.750
Pu 0.250 0.750 0.250
Pu 0.250 0.750 0.750
Pu 0.750 0.250 0.250
Pu 0.750 0.250 0.750
Pu 0.750 0.750 0.250
Pu 0.750 0.750 0.750
Pa 0.000 0.000 0.000
Pa 0.000 0.500 0.500
Pa 0.500 0.000 0.500
Pa 0.500 0.500 0.000
Mo 0.000 0.000 0.500
Mo 0.000 0.500 0.000
Mo 0.500 0.000 0.000
Mo 0.500 0.500 0.500
```


Most favorable structure: model 1. The second most favorable one is 43 meV/atom above it.


Model 1:
First-principles (PBE) data for a relaxed structure of PuPaMo2, as listed in Alexandria via LeMat-Bulk. Values from VASP.

Computed properties:
density = 13.65 g/cm³
N(E_F) = 1.329 states/eV per atom
magnetization = 14.10 μB per cell

Geometry as Quantum ESPRESSO input:
```
&SYSTEM
  ibrav = 0, nat = 16, ntyp = 3
/
ATOMIC_SPECIES
Pu 244.00 Pu.upf
Pa 231.04 Pa.upf
Mo 95.94 Mo.upf
CELL_PARAMETERS angstrom
6.871 0.000 0.000
0.000 6.871 0.000
0.000 0.000 6.871
ATOMIC_POSITIONS crystal
Pu 0.000 0.000 0.000
Pu 0.000 0.500 0.500
Pu 0.500 0.000 0.500
Pu 0.500 0.500 0.000
Pa 0.000 0.000 0.500
Pa 0.000 0.500 0.000
Pa 0.500 0.000 0.000
Pa 0.500 0.500 0.500
Mo 0.250 0.250 0.250
Mo 0.250 0.250 0.750
Mo 0.250 0.750 0.250
Mo 0.250 0.750 0.750
Mo 0.750 0.250 0.250
Mo 0.750 0.250 0.750
Mo 0.750 0.750 0.250
Mo 0.750 0.750 0.750
```


Model 2:
First-principles (PBE) data for a relaxed structure of PuPaMo2, as listed in Alexandria via LeMat-Bulk. Values from VASP.

Computed properties:
density = 13.66 g/cm³
N(E_F) = 1.903 states/eV per atom
magnetization = 4.04 μB per cell

Geometry as Quantum ESPRESSO input:
```
&SYSTEM
  ibrav = 0, nat = 4, ntyp = 3
/
ATOMIC_SPECIES
Pu 244.00 Pu.upf
Pa 231.04 Pa.upf
Mo 95.94 Mo.upf
CELL_PARAMETERS angstrom
4.839 0.000 0.000
0.000 4.839 0.000
0.000 0.000 3.461
ATOMIC_POSITIONS crystal
Pu 0.000 0.000 0.000
Pa 0.500 0.500 0.000
Mo 0.000 0.500 0.500
Mo 0.500 0.000 0.500
```


Most favorable structure: model 1. The second most favorable one is 30 meV/atom above it.


Model 1:
First-principles (PBE) data for a relaxed structure of PaReMo, as listed in Alexandria via LeMat-Bulk. Values from VASP.

Computed properties:
density = 13.76 g/cm³
N(E_F) = 1.064 states/eV per atom
magnetization = 0.00 μB per cell

Geometry as Quantum ESPRESSO input:
```
&SYSTEM
  ibrav = 0, nat = 3, ntyp = 3
/
ATOMIC_SPECIES
Pa 231.04 Pa.upf
Re 186.21 Re.upf
Mo 95.94 Mo.upf
CELL_PARAMETERS angstrom
4.179 0.000 0.000
-2.090 3.619 0.000
0.000 0.000 4.095
ATOMIC_POSITIONS crystal
Pa 0.000 0.000 0.000
Re 0.667 0.333 0.405
Mo 0.333 0.667 0.577
```


Model 2:
First-principles (PBE) data for a relaxed structure of PaReMo, as listed in Alexandria via LeMat-Bulk. Values from VASP.

Computed properties:
density = 14.79 g/cm³
N(E_F) = 0.978 states/eV per atom
magnetization = 0.00 μB per cell

Geometry as Quantum ESPRESSO input:
```
&SYSTEM
  ibrav = 0, nat = 6, ntyp = 3
/
ATOMIC_SPECIES
Pa 231.04 Pa.upf
Re 186.21 Re.upf
Mo 95.94 Mo.upf
CELL_PARAMETERS angstrom
3.724 0.000 0.000
0.000 3.724 0.000
0.000 0.000 8.308
ATOMIC_POSITIONS crystal
Pa 0.000 0.000 0.000
Pa 0.500 0.500 0.500
Re 0.000 0.000 0.681
Re 0.500 0.500 0.181
Mo 0.000 0.000 0.303
Mo 0.500 0.500 0.803
```


Model 3:
First-principles (PBE) data for a relaxed structure of PaReMo, as listed in Alexandria via LeMat-Bulk. Values from VASP.

Computed properties:
density = 14.88 g/cm³
N(E_F) = 1.240 states/eV per atom
magnetization = 0.00 μB per cell

Geometry as Quantum ESPRESSO input:
```
&SYSTEM
  ibrav = 0, nat = 12, ntyp = 3
/
ATOMIC_SPECIES
Pa 231.04 Pa.upf
Re 186.21 Re.upf
Mo 95.94 Mo.upf
CELL_PARAMETERS angstrom
9.533 0.000 0.000
0.000 2.607 4.610
0.000 -2.607 4.610
ATOMIC_POSITIONS crystal
Pa 0.189 0.000 0.000
Pa 0.306 0.663 0.663
Pa 0.694 0.663 0.663
Pa 0.811 0.000 0.000
Re 0.000 0.506 0.998
Re 0.000 0.507 0.507
Re 0.000 0.998 0.506
Re 0.500 0.159 0.159
Mo 0.247 0.327 0.327
Mo 0.500 0.160 0.666
Mo 0.500 0.666 0.160
Mo 0.753 0.327 0.327
```


Model 4:
First-principles (PBE) data for a relaxed structure of PaReMo, as listed in Alexandria via LeMat-Bulk. Values from VASP.

Computed properties:
density = 12.87 g/cm³
N(E_F) = 1.608 states/eV per atom
magnetization = 0.00 μB per cell

Geometry as Quantum ESPRESSO input:
```
&SYSTEM
  ibrav = 0, nat = 6, ntyp = 3
/
ATOMIC_SPECIES
Pa 231.04 Pa.upf
Re 186.21 Re.upf
Mo 95.94 Mo.upf
CELL_PARAMETERS angstrom
2.133 1.232 8.402
-2.133 1.232 8.402
0.000 -2.463 8.402
ATOMIC_POSITIONS crystal
Pa 0.055 0.055 0.055
Pa 0.945 0.945 0.945
Re 0.190 0.190 0.190
Re 0.810 0.810 0.810
Mo 0.447 0.447 0.447
Mo 0.553 0.553 0.553
```


Most favorable structure: model 3. The second most favorable one is 343 meV/atom above it.


Model 1:
First-principles (PBE) data for a relaxed structure of PaReMo2, as listed in Alexandria via LeMat-Bulk. Values from VASP.

Computed properties:
density = 14.16 g/cm³
N(E_F) = 1.239 states/eV per atom
magnetization = 0.00 μB per cell

Geometry as Quantum ESPRESSO input:
```
&SYSTEM
  ibrav = 0, nat = 4, ntyp = 3
/
ATOMIC_SPECIES
Pa 231.04 Pa.upf
Re 186.21 Re.upf
Mo 95.94 Mo.upf
CELL_PARAMETERS angstrom
4.691 0.000 0.000
0.000 4.691 0.000
0.000 0.000 3.245
ATOMIC_POSITIONS crystal
Pa 0.000 0.000 0.000
Re 0.500 0.500 0.000
Mo 0.000 0.500 0.500
Mo 0.500 0.000 0.500
```


Model 2:
First-principles (PBE) data for a relaxed structure of PaReMo2, as listed in Alexandria via LeMat-Bulk. Values from VASP.

Computed properties:
density = 14.33 g/cm³
N(E_F) = 1.472 states/eV per atom
magnetization = 0.01 μB per cell

Geometry as Quantum ESPRESSO input:
```
&SYSTEM
  ibrav = 0, nat = 16, ntyp = 3
/
ATOMIC_SPECIES
Pa 231.04 Pa.upf
Re 186.21 Re.upf
Mo 95.94 Mo.upf
CELL_PARAMETERS angstrom
6.560 0.000 0.000
0.000 6.560 0.000
0.000 0.000 6.560
ATOMIC_POSITIONS crystal
Pa 0.000 0.000 0.000
Pa 0.000 0.500 0.500
Pa 0.500 0.000 0.500
Pa 0.500 0.500 0.000
Re 0.000 0.000 0.500
Re 0.000 0.500 0.000
Re 0.500 0.000 0.000
Re 0.500 0.500 0.500
Mo 0.250 0.250 0.250
Mo 0.250 0.250 0.750
Mo 0.250 0.750 0.250
Mo 0.250 0.750 0.750
Mo 0.750 0.250 0.250
Mo 0.750 0.250 0.750
Mo 0.750 0.750 0.250
Mo 0.750 0.750 0.750
```


Model 3:
First-principles (PBE) data for a relaxed structure of PaReMo2, as listed in Alexandria via LeMat-Bulk. Values from VASP.

Computed properties:
density = 14.25 g/cm³
N(E_F) = 0.854 states/eV per atom
magnetization = 0.00 μB per cell

Geometry as Quantum ESPRESSO input:
```
&SYSTEM
  ibrav = 0, nat = 4, ntyp = 3
/
ATOMIC_SPECIES
Pa 231.04 Pa.upf
Re 186.21 Re.upf
Mo 95.94 Mo.upf
CELL_PARAMETERS angstrom
3.291 0.000 0.000
0.000 3.291 0.000
0.000 0.000 6.556
ATOMIC_POSITIONS crystal
Pa 0.000 0.000 0.000
Re 0.000 0.000 0.500
Mo 0.500 0.500 0.265
Mo 0.500 0.500 0.735
```


Most favorable structure: model 2. The second most favorable one is 42 meV/atom above it.